1.
First-principles (PBE-GGA) data for ZrGa6Ni12 after structural relaxation, as listed in the Alexandria database.

Lattice parameters (Å, degrees): 10.5852 10.5852 7.8985 90.00 90.00 120.00
Space group R-3m (No. 166, hexagonal axes)
One atom of each set of equivalent atoms:
Zr  0.0000  0.0000  0.0000 [3 per cell]
Ga  0.0522  0.5261  0.2441 [18 per cell]
Ni  0.0000  0.3855  0.5000 [18 per cell]
Ni  0.0809  0.1619  0.2864 [18 per cell]

Output
Calculated volume (Å³/cell): 766.4
Formation energy (kJ per mole of atoms): -17.0
Final energy (eV/atom): -5.233


2.
First-principles (PBE-GGA) data for Ba2NpP3 after structural relaxation, as listed in the Alexandria database.

Lattice parameters (Å, degrees): 6.177 6.180 9.911 90.00 108.07 90.00
Space group C2/m (No. 12)
One atom of each set of equivalent atoms:
Ba  0.168  0.000  0.335 [4 per cell]
Np  0.000  0.500  0.000 [2 per cell]
P  0.000  0.000  0.000 [2 per cell]
P  0.139  0.500  0.277 [4 per cell]

Output
Calculated volume (Å³/cell): 359.7
Formation energy (kJ per mole of atoms): -69.8
Final energy (eV/atom): -6.226


3.
First-principles (PBE-GGA) data for CsTl3Hg4Br12 after structural relaxation, as listed in the Alexandria database.

Lattice parameters (Å, degrees): 16.3376 16.3376 12.7224 90.00 90.00 120.00
Space group R32 (No. 155, hexagonal axes)
One atom of each set of equivalent atoms:
Cs  0.0000  0.0000  0.0000 [3 per cell]
Tl  0.0000  0.5425  0.0000 [9 per cell]
Hg  0.0000  0.0000  0.5000 [3 per cell]
Hg  0.0000  0.4515  0.5000 [9 per cell]
Br  0.0000  0.6107  0.5000 [9 per cell]
Br  0.0000  0.8422  0.5000 [9 per cell]
Br  0.0347  0.2059  0.1633 [18 per cell]

Output
Calculated volume (Å³/cell): 2940.9
Final energy (eV/atom): -2.150
Formation energy from raw total energies (eV per atom): -0.688


4.
First-principles (PBE-GGA) data for LiIn2Au8 after structural relaxation, as listed in the Alexandria database.

Lattice parameters (Å, degrees): 4.013 8.598 12.213 90.00 90.00 90.00
Space group Immm (No. 71)
One atom of each set of equivalent atoms:
Li  0.000  0.000  0.000 [2 per cell]
In  0.000  0.000  0.358 [4 per cell]
Au  0.000  0.251  0.163 [8 per cell]
Au  0.000  0.265  0.500 [4 per cell]
Au  0.000  0.500  0.330 [4 per cell]

Output
Calculated volume (Å³/cell): 421.4
Formation energy (kJ per mole of atoms): -19.4
E above lowest polymorph (kJ/mol of atoms): 0.0
Final energy (eV/atom): -3.256


5.
First-principles (PBE-GGA) data for Ac2PmRe after structural relaxation, as listed in the Alexandria database.

Lattice parameters (Å, degrees): 3.5828 3.5828 35.4406 90.00 90.00 120.00
Space group R-3m (No. 166, hexagonal axes)
One atom of each set of equivalent atoms:
Ac  0.0000  0.0000  0.0758 [6 per cell]
Pm  0.0000  0.0000  0.5000 [3 per cell]
Re  0.0000  0.0000  0.0000 [3 per cell]

Output
Calculated volume (Å³/cell): 394.0
Formation energy (kJ per mole of atoms): 105.8
Final energy (eV/atom): -5.258


6.
First-principles (PBE-GGA) data for LaMoP after structural relaxation, as listed in the Alexandria database.

Lattice parameters (Å, degrees): 6.883 6.883 6.883 90.00 90.00 90.00
Space group F-43m (No. 216)
One atom of each set of equivalent atoms:
La  0.000  0.000  0.000 [4 per cell]
Mo  0.250  0.250  0.250 [4 per cell]
P  0.250  0.250  0.750 [4 per cell]

Output
Calculated volume (Å³/cell): 326.1
Formation energy (kJ per mole of atoms): 96.9
E above lowest polymorph (kJ/mol of atoms): 168.9
Final energy (eV/atom): -6.052